Model one:
The following is a PBE calculation of BaMg2NbNi after structural relaxation, from Alexandria.

a b c (Å): 5.612 5.612 5.208
angles (deg): 90.00 90.00 90.00
Sites, in units of the cell vectors:
1 Ba 0.000 0.000 0.000
2 Mg 0.000 0.500 0.000
3 Mg 0.500 0.000 0.000
4 Nb 0.000 0.000 0.500
5 Ni 0.500 0.500 0.500

---

Model two:
The following is a PBE calculation of BaMg2NbNi after structural relaxation, from Alexandria.

a b c (Å): 5.099 5.099 4.850
angles (deg): 90.00 90.00 90.00
Sites, in units of the cell vectors:
1 Ba 0.000 0.000 0.000
2 Mg 0.000 0.500 0.500
3 Mg 0.500 0.000 0.500
4 Nb 0.500 0.500 0.000
5 Ni 0.500 0.500 0.500

---

Here are the energies relative to the best structure, in eV/atom: model one 1.901; model two 0.000.

---

Model one:
The following is a PBE calculation of BaNd2Mg after structural relaxation, from Alexandria.

a b c (Å): 3.944 3.944 9.720
angles (deg): 90.00 90.00 90.00
Sites, in units of the cell vectors:
1 Ba 0.000 0.000 0.000
2 Nd 0.500 0.500 0.311
3 Nd 0.500 0.500 0.689
4 Mg 0.000 0.000 0.500

---

Model two:
The following is a PBE calculation of BaNd2Mg after structural relaxation, from Alexandria.

a b c (Å): 3.670 3.670 38.261
angles (deg): 90.00 90.00 120.00
Sites, in units of the cell vectors:
1 Ba 0.000 0.000 0.000
2 Ba 0.333 0.667 0.667
3 Ba 0.667 0.333 0.333
4 Nd 0.000 0.000 0.098
5 Nd 0.000 0.000 0.902
6 Nd 0.333 0.667 0.569
7 Nd 0.333 0.667 0.764
8 Nd 0.667 0.333 0.236
9 Nd 0.667 0.333 0.431
10 Mg 0.000 0.000 0.500
11 Mg 0.333 0.667 0.167
12 Mg 0.667 0.333 0.833

---

Here are the energies relative to the best structure, in eV/atom: model one 0.000; model two 0.175.

---

Model one:
The following is a PBE calculation of Ba2NdMg after structural relaxation, from Alexandria.

a b c (Å): 3.841 3.841 40.287
angles (deg): 90.00 90.00 120.00
Sites, in units of the cell vectors:
1 Ba 0.000 0.000 0.092
2 Ba 0.000 0.000 0.908
3 Ba 0.333 0.667 0.575
4 Ba 0.333 0.667 0.759
5 Ba 0.667 0.333 0.241
6 Ba 0.667 0.333 0.425
7 Nd 0.000 0.000 0.000
8 Nd 0.333 0.667 0.667
9 Nd 0.667 0.333 0.333
10 Mg 0.000 0.000 0.500
11 Mg 0.333 0.667 0.167
12 Mg 0.667 0.333 0.833

---

Model two:
The following is a PBE calculation of Ba2NdMg after structural relaxation, from Alexandria.

a b c (Å): 4.082 4.082 10.460
angles (deg): 90.00 90.00 90.00
Sites, in units of the cell vectors:
1 Ba 0.000 0.000 0.227
2 Ba 0.000 0.000 0.773
3 Nd 0.500 0.500 0.500
4 Mg 0.500 0.500 0.000

---

Here are the energies relative to the best structure, in eV/atom: model one 0.189; model two 0.000.